Compound: BaMgPaO4
Source: Alexandria via LeMat-Bulk
Functional: PBE-GGA
Structure: relaxed

Computed properties:
The magnetic moment is 1.68 μB per cell. The uncorrected formation energy comes out at -2.87 eV per atom.

Cell and atoms, written as POSCAR:
```
BaMgPaO4
1.0
7.273 0.000 0.000
-3.637 5.773 -0.775
0.000 -3.805 6.258
Ba O Pa Mg
2 8 2 2
Cartesian
3.637 3.916 0.238
0.000 -1.948 5.244
3.637 0.148 3.928
5.051 -0.833 1.636
0.000 1.820 1.554
0.000 0.315 4.029
2.222 -0.833 1.636
-1.415 2.801 3.846
1.415 2.801 3.846
3.637 1.653 1.453
3.637 0.000 0.000
3.637 -1.903 3.129
1.818 0.984 2.741
-1.818 0.984 2.741
```